{
  "formula": "Mg3Zn",
  "functional": "SCAN",
  "state": "PBEsol geometry",
  "lattice_angstrom": [[3.278, 0.000, 0.000], [0.000, 4.880, 0.000], [0.000, 0.000, 9.961]],
  "species": ["Mg", "Mg", "Mg", "Mg", "Mg", "Mg", "Zn", "Zn"],
  "fractional_positions": [[0.000, 0.000, 0.000], [0.000, 0.500, 0.226], [0.000, 0.500, 0.774], [0.500, 0.000, 0.274], [0.500, 0.000, 0.726], [0.500, 0.500, 0.500], [0.000, 0.000, 0.500], [0.500, 0.500, 0.000]],
  "dft_energy_ev_per_atom": -7.16,
  "ef_ev_per_atom": -0.046,
  "n_ef_per_ev_atom": 0.34
}